Crystalline Dy8GaAs3Se4 at its relaxed geometry. Source: Alexandria, functional PBE.

The structure in POSCAR format:
```
Dy8GaAs3Se4
1.0
8.222 0.000 0.000
0.000 8.232 0.001
-4.111 -4.107 5.817
Se Dy As Ga
4 8 3 1
direct
0.500 0.000 0.500
0.000 0.000 0.000
0.500 0.000 0.000
0.000 0.000 0.500
0.749 0.739 0.994
0.746 0.738 0.492
0.755 0.261 0.510
0.245 0.739 0.490
0.254 0.262 0.508
0.251 0.261 0.006
0.245 0.739 0.994
0.755 0.261 0.006
0.500 0.500 0.500
0.500 0.500 0.000
0.000 0.500 0.500
0.000 0.500 0.000
```

## Properties
**Total moment**: 0.000 μB per formula unit
**Formation energy (no corrections)**: -25.29 eV per formula unit
**DOS(E_F)**: 0.14 states/eV/atom
**Raw total energy**: -5.81 eV per atom

---

Crystalline Dy6GaTe3As2 at its relaxed geometry. Source: Alexandria, functional PBE.

The structure in POSCAR format:
```
Dy6GaTe3As2
1.0
-0.825 1.922 3.623
-7.347 -4.507 0.717
6.837 -6.234 2.450
Dy As Te Ga
6 2 3 1
direct
0.674 0.566 0.347
0.341 0.902 0.682
0.995 0.765 0.990
0.005 0.235 0.010
0.326 0.434 0.653
0.659 0.098 0.318
0.167 0.335 0.334
0.833 0.665 0.666
0.500 0.500 0.000
0.831 0.168 0.663
0.169 0.832 0.337
0.500 0.000 0.000
```

## Properties
**Total moment**: 0.000 μB per formula unit
**Formation energy (no corrections)**: -15.81 eV per formula unit
**DOS(E_F)**: 0.28 states/eV/atom
**Raw total energy**: -5.43 eV per atom

---

Crystalline Dy8GaTe4As3 at its relaxed geometry. Source: Alexandria, functional PBE.

The structure in POSCAR format:
```
Dy8GaTe4As3
1.0
-0.430 -7.095 4.545
8.492 0.221 1.148
-4.659 6.690 2.172
Dy As Te Ga
8 3 4 1
direct
0.256 0.279 0.017
0.761 0.279 0.523
0.740 0.719 0.479
0.761 0.279 0.017
0.239 0.721 0.983
0.744 0.721 0.983
0.239 0.721 0.477
0.260 0.281 0.521
0.500 0.500 0.500
0.000 0.500 0.500
0.500 0.500 0.000
0.000 0.000 0.500
0.000 0.000 0.000
0.500 0.000 0.500
0.500 0.000 0.000
0.000 0.500 0.000
```

## Properties
**Total moment**: 0.000 μB per formula unit
**Formation energy (no corrections)**: -21.86 eV per formula unit
**DOS(E_F)**: 0.23 states/eV/atom
**Raw total energy**: -5.51 eV per atom

---

Crystalline Dy4GaTe2As at its relaxed geometry. Source: Alexandria, functional PBE.

The structure in POSCAR format:
```
Dy4GaTe2As
1.0
-3.298 1.305 -2.182
-1.437 -6.965 -1.994
-3.655 1.446 6.389
Dy Ga Te As
4 1 2 1
direct
0.000 0.742 0.226
0.000 0.258 0.774
0.500 0.242 0.220
0.500 0.758 0.780
0.500 0.500 0.000
0.000 0.500 0.500
0.500 0.000 0.500
0.000 0.000 0.000
```

## Properties
**Total moment**: 0.000 μB per formula unit
**Formation energy (no corrections)**: -9.79 eV per formula unit
**DOS(E_F)**: 0.23 states/eV/atom
**Raw total energy**: -5.27 eV per atom

---

Crystalline GdDy2As at its relaxed geometry. Source: Alexandria, functional PBE.

The structure in POSCAR format:
```
GdDy2As
1.0
3.873 0.000 0.000
1.937 3.354 0.000
1.937 1.118 9.427
As Dy Gd
1 2 1
direct
0.000 0.000 0.000
0.272 0.272 0.184
0.728 0.728 0.816
0.500 0.500 0.500
```

## Properties
**Total moment**: 8.539 μB per formula unit
**DFT formation energy**: -0.60 eV/atom
**DOS(E_F)**: 1.65 states/eV/atom
**Raw total energy**: -7.59 eV per atom

---

Crystalline Dy6GeAs5 at its relaxed geometry. Source: Alexandria, functional PBE.

The structure in POSCAR format:
```
Dy6GeAs5
1.0
7.049 0.177 1.073
1.736 5.984 3.489
0.119 0.061 7.145
As Dy Ge
5 6 1
direct
0.000 0.666 0.667
0.500 0.167 0.666
0.500 0.500 0.000
0.500 0.833 0.334
0.000 0.334 0.333
0.250 0.917 0.664
0.250 0.581 0.336
0.750 0.083 0.336
0.749 0.748 0.000
0.750 0.419 0.664
0.251 0.252 0.000
0.000 0.000 0.000
```

## Properties
**Total moment**: 0.000 μB per formula unit
**DFT formation energy**: -1.38 eV/atom
**DOS(E_F)**: 0.41 states/eV/atom
**Raw total energy**: -6.00 eV per atom

---

Crystalline Dy4GeAs3 at its relaxed geometry. Source: Alexandria, functional PBE.

The structure in POSCAR format:
```
Dy4GeAs3
1.0
5.834 0.000 0.000
0.000 5.834 0.000
0.000 0.000 5.834
Dy As Ge
4 3 1
direct
0.000 0.500 0.000
0.500 0.500 0.500
0.500 0.000 0.000
0.000 0.000 0.500
0.500 0.000 0.500
0.500 0.500 0.000
0.000 0.500 0.500
0.000 0.000 0.000
```

## Properties
**Total moment**: 0.000 μB per formula unit
**DFT formation energy**: -1.31 eV/atom
**DOS(E_F)**: 0.54 states/eV/atom
**Raw total energy**: -5.93 eV per atom

---

Crystalline Dy2GeAs at its relaxed geometry. Source: Alexandria, functional PBE.

The structure in POSCAR format:
```
Dy2GeAs
1.0
3.976 0.000 0.000
1.988 3.443 0.000
1.988 1.148 7.407
Ge Dy As
1 2 1
direct
0.668 0.668 0.995
0.249 0.249 0.253
0.084 0.084 0.747
0.499 0.499 0.504
```

## Properties
**Total moment**: 0.000 μB per formula unit
**DFT formation energy**: -0.95 eV/atom
**DOS(E_F)**: 0.26 states/eV/atom
**Energy relative to the lowest polymorph listed for this composition**: 238 meV/atom
**Raw total energy**: -5.57 eV per atom

---

Crystalline Dy2GeAs at its relaxed geometry. Source: Alexandria, functional PBE.

The structure in POSCAR format:
```
Dy2GeAs
1.0
-0.013 3.734 1.111
-1.967 2.643 -2.078
-8.125 0.582 4.779
Dy Ge As
2 1 1
direct
0.895 0.895 0.315
0.105 0.105 0.685
0.000 0.000 0.000
0.500 0.500 0.500
```

## Properties
**Total moment**: 0.000 μB per formula unit
**DFT formation energy**: -0.47 eV/atom
**DOS(E_F)**: 0.79 states/eV/atom
**Energy relative to the lowest polymorph listed for this composition**: 718 meV/atom
**Raw total energy**: -5.09 eV per atom

---

Crystalline Dy2GeAs at its relaxed geometry. Source: Alexandria, functional PBE.

The structure in POSCAR format:
```
Dy2GeAs
1.0
-1.515 -3.269 1.819
2.904 0.338 3.026
-8.429 6.382 4.450
Dy As Ge
4 2 2
direct
0.750 0.935 0.871
0.250 0.315 0.629
0.250 0.065 0.129
0.750 0.685 0.371
0.750 0.812 0.624
0.250 0.188 0.376
0.750 0.542 0.085
0.250 0.458 0.915
```

## Properties
**Total moment**: 0.000 μB per formula unit
**DFT formation energy**: -1.19 eV/atom
**DOS(E_F)**: 0.36 states/eV/atom
**Energy relative to the lowest polymorph listed for this composition**: 0 meV/atom
**Raw total energy**: -5.81 eV per atom

---

Crystalline Dy5GeAs4 at its relaxed geometry. Source: Alexandria, functional PBE.

The structure in POSCAR format:
```
Dy5GeAs4
1.0
5.249 0.000 2.532
2.624 6.518 1.266
-0.207 0.000 7.137
Dy As Ge
5 4 1
direct
0.501 0.000 0.000
0.899 0.404 0.799
0.303 0.799 0.596
0.699 0.201 0.404
0.103 0.596 0.201
0.601 0.600 0.201
0.801 0.799 0.600
0.401 0.400 0.799
0.201 0.201 0.400
0.001 0.000 0.000
```

## Properties
**Total moment**: 0.000 μB per formula unit
**DFT formation energy**: -1.35 eV/atom
**DOS(E_F)**: 0.43 states/eV/atom
**Raw total energy**: -5.97 eV per atom

---

Crystalline DyGeAs2 at its relaxed geometry. Source: Alexandria, functional PBE.

The structure in POSCAR format:
```
DyGeAs2
1.0
-1.089 0.406 -4.272
-3.514 -2.164 -1.604
-5.861 5.215 -0.305
As Ge Dy
2 1 1
direct
0.895 0.895 0.315
0.105 0.105 0.685
0.000 0.000 0.000
0.500 0.500 0.500
```

## Properties
**Total moment**: 0.000 μB per formula unit
**DFT formation energy**: -0.15 eV/atom
**DOS(E_F)**: 0.72 states/eV/atom
**Raw total energy**: -4.78 eV per atom

---

Crystalline DyPaGeAs at its relaxed geometry. Source: Alexandria, functional PBE.

The structure in POSCAR format:
```
DyPaGeAs
1.0
4.145 0.000 0.000
2.073 3.590 0.000
2.073 1.197 6.664
As Ge Pa Dy
1 1 1 1
direct
0.943 0.943 0.172
0.446 0.446 0.661
0.193 0.193 0.421
0.694 0.694 0.917
```

## Properties
**Total moment**: 0.000 μB per formula unit
**DFT formation energy**: -0.97 eV/atom
**DOS(E_F)**: 0.77 states/eV/atom
**Raw total energy**: -6.81 eV per atom

---

Crystalline Dy3GeAs2Rh9 at its relaxed geometry. Source: Alexandria, functional PBE.

The structure in POSCAR format:
```
Dy3GeAs2Rh9
1.0
-6.191 -0.400 -1.115
2.627 -3.546 4.501
-1.456 6.311 5.822
Rh Dy Ge As
9 3 1 2
direct
0.859 0.141 0.720
0.859 0.717 0.720
0.283 0.141 0.720
0.141 0.859 0.280
0.141 0.283 0.280
0.000 0.500 0.000
0.500 0.000 0.000
0.717 0.859 0.280
0.500 0.500 0.000
0.667 0.333 0.274
0.333 0.667 0.726
0.000 0.000 0.000
0.000 0.000 0.500
0.667 0.333 0.820
0.333 0.667 0.180
```

## Properties
**Total moment**: 0.000 μB per formula unit
**DFT formation energy**: -0.47 eV/atom
**DOS(E_F)**: 0.25 states/eV/atom
**Raw total energy**: -6.73 eV per atom

---

Crystalline DyGeAsRh3 at its relaxed geometry. Source: Alexandria, functional PBE.

The structure in POSCAR format:
```
DyGeAsRh3
1.0
5.595 0.000 0.000
0.000 6.705 0.000
0.000 -3.353 5.801
Ge Rh As Dy
2 6 2 2
direct
0.750 0.056 0.111
0.250 0.944 0.889
0.500 0.291 0.000
0.250 0.163 0.327
0.750 0.837 0.673
0.000 0.291 0.000
0.500 0.709 0.000
0.000 0.709 0.000
0.250 0.369 0.738
0.750 0.631 0.262
0.250 0.697 0.393
0.750 0.303 0.607
```

## Properties
**Total moment**: 0.000 μB per formula unit
**DFT formation energy**: -0.61 eV/atom
**DOS(E_F)**: 0.47 states/eV/atom
**Raw total energy**: -6.60 eV per atom

---

Crystalline Dy4GeAsS2 at its relaxed geometry. Source: Alexandria, functional PBE.

The structure in POSCAR format:
```
Dy4GeAsS2
1.0
-0.518 -3.011 -2.651
6.823 0.033 -1.371
3.288 -4.399 4.354
Dy S Ge As
4 2 1 1
direct
0.000 0.251 0.252
0.500 0.749 0.252
0.000 0.749 0.748
0.500 0.251 0.748
0.000 0.000 0.000
0.500 0.000 0.500
0.000 0.500 0.500
0.500 0.500 0.000
```

## Properties
**Total moment**: 0.000 μB per formula unit
**Formation energy (no corrections)**: -13.14 eV per formula unit
**DOS(E_F)**: 0.18 states/eV/atom
**Raw total energy**: -6.13 eV per atom

---

Crystalline Dy8Ge3AsS4 at its relaxed geometry. Source: Alexandria, functional PBE.

The structure in POSCAR format:
```
Dy8Ge3AsS4
1.0
8.102 0.000 0.000
0.000 8.071 -0.027
-4.051 -4.047 5.732
S Ge Dy As
4 3 8 1
direct
0.500 0.000 0.500
0.500 0.000 0.000
0.000 0.000 0.500
0.000 0.000 0.000
0.500 0.500 0.000
0.000 0.500 0.500
0.500 0.500 0.500
0.747 0.748 0.998
0.750 0.252 0.499
0.250 0.251 0.500
0.250 0.748 0.998
0.750 0.749 0.500
0.750 0.252 0.002
0.250 0.748 0.501
0.253 0.252 0.002
0.000 0.500 0.000
```

## Properties
**Total moment**: 0.000 μB per formula unit
**Formation energy (no corrections)**: -24.83 eV per formula unit
**DOS(E_F)**: 0.27 states/eV/atom
**Raw total energy**: -6.04 eV per atom

---

Crystalline Dy6GeAs2S3 at its relaxed geometry. Source: Alexandria, functional PBE.

The structure in POSCAR format:
```
Dy6GeAs2S3
1.0
4.043 0.000 0.000
0.000 8.028 0.320
-2.022 -2.283 8.467
As Dy S Ge
2 6 3 1
direct
0.167 0.334 0.334
0.833 0.666 0.666
0.335 0.919 0.669
0.334 0.416 0.667
0.665 0.081 0.331
0.666 0.584 0.333
0.999 0.248 0.999
0.001 0.752 0.001
0.168 0.833 0.336
0.832 0.167 0.664
0.500 0.500 0.000
0.500 0.000 0.000
```

## Properties
**Total moment**: 0.000 μB per formula unit
**Formation energy (no corrections)**: -20.30 eV per formula unit
**DOS(E_F)**: 0.29 states/eV/atom
**Raw total energy**: -6.18 eV per atom

---

Crystalline Dy4GeAs2S at its relaxed geometry. Source: Alexandria, functional PBE.

The structure in POSCAR format:
```
Dy4GeAs2S
1.0
4.068 0.000 0.000
0.000 7.074 -0.147
0.000 2.483 6.628
Dy S As Ge
4 1 2 1
direct
0.500 0.749 0.250
0.500 0.251 0.750
0.000 0.749 0.748
0.000 0.251 0.252
0.500 0.500 0.000
0.500 0.000 0.500
0.000 0.000 0.000
0.000 0.500 0.500
```

## Properties
**Total moment**: 0.000 μB per formula unit
**Formation energy (no corrections)**: -12.01 eV per formula unit
**DOS(E_F)**: 0.17 states/eV/atom
**Raw total energy**: -6.06 eV per atom

---

Crystalline Dy6Ge2As3S at its relaxed geometry. Source: Alexandria, functional PBE.

The structure in POSCAR format:
```
Dy6Ge2As3S
1.0
4.055 0.000 0.000
0.000 8.258 0.305
-2.027 -2.367 8.629
As Dy Ge S
3 6 2 1
direct
0.165 0.835 0.330
0.500 0.500 0.000
0.835 0.165 0.670
0.334 0.414 0.668
0.001 0.250 0.001
0.665 0.080 0.330
0.335 0.920 0.670
0.999 0.750 0.999
0.666 0.586 0.332
0.166 0.332 0.332
0.834 0.668 0.668
0.500 0.000 0.000
```

## Properties
**Total moment**: 0.000 μB per formula unit
**Formation energy (no corrections)**: -16.39 eV per formula unit
**DOS(E_F)**: 0.30 states/eV/atom
**Raw total energy**: -5.94 eV per atom